Entry from the Alexandria database: crystalline Nb3SnS at its relaxed geometry (PBE-GGA).

Cell lengths 4.613, 4.613, 4.613 Å; angles 90.00, 90.00, 90.00 degrees
Fractional positions:
S1 0.000 0.000 0.000
Nb1 0.500 0.000 0.000
Nb2 0.000 0.500 0.000
Sn1 0.500 0.500 0.500
Nb3 0.000 0.000 0.500

Properties
raw formation energy = -0.025 eV/atom
DOS(E_F) = 4.85 states/eV per cell
ΔE to the lowest computed polymorph = 381 meV/atom
raw total energy = -7.693 eV per atom
calculated density = 7.3 g cm⁻³